No. 1
A plane-wave DFT calculation with GGA-PBE was carried out for an optimized crystal structure of SmSb.

Output
Total magnetization ... 0.003 μB/atom

a = 6.5288 Å, b = 6.0729 Å, c = 6.0494 Å
α = 90.00°, β = 90.00°, γ = 90.00°
Closest atoms and distances in Å follow each position.
Space group Pmma (No. 51)
Symmetry-distinct sites (fractional):
Sm 0.0000 0.0000 0.0000 x2  2 Sm 3.26, 8 Sb 3.35-3.61
Sm 0.2500 0.5000 0.3171 x2  4 Sb 2.99-3.20
Sb 0.2500 0.0000 0.4844 x2  6 Sm 3.20-3.52, 2 Sb 3.27
Sb 0.2500 0.5000 0.8230 x2  2 Sm 2.99-3.06



No. 2
A plane-wave DFT calculation with GGA-PBE was carried out for an optimized crystal structure of Lu2Mg.

Output
Total magnetization ... 0.009 μB/atom

a = 6.2635 Å, b = 6.2635 Å, c = 5.2230 Å
α = 90.00°, β = 90.00°, γ = 90.00°
Closest atoms and distances in Å follow each position.
Space group P4_2/mnm (No. 136)
Symmetry-distinct sites (fractional):
Lu 0.1783 0.1783 0.0000 x4  3 Mg 2.85-3.05, 1 Lu 3.16
Mg 0.0000 0.0000 0.5000 x2  6 Lu 2.85-3.05



No. 3
A plane-wave DFT calculation with GGA-PBE was carried out for an optimized crystal structure of CoAgSbAu.

Output
Total magnetization ... 0.264 μB/atom

a = 6.5445 Å, b = 6.5445 Å, c = 6.5445 Å
α = 90.00°, β = 90.00°, γ = 90.00°
Closest atoms and distances in Å follow each position.
Space group F-43m (No. 216)
Symmetry-distinct sites (fractional):
Co 0.0000 0.0000 0.0000 x4  4 Au 2.83, 4 Sb 2.83
Ag 0.0000 0.0000 0.5000 x4  4 Sb 2.83, 4 Au 2.83
Sb 0.2500 0.2500 0.7500 x4  4 Co 2.83, 4 Ag 2.83
Au 0.2500 0.2500 0.2500 x4  4 Co 2.83, 4 Ag 2.83



No. 4
A plane-wave DFT calculation with GGA-PBE was carried out for an optimized crystal structure of LiDyCo.

Output
Total magnetization ... 0.084 μB/atom

a = 6.2669 Å, b = 6.2669 Å, c = 6.2669 Å
α = 90.00°, β = 90.00°, γ = 90.00°
Closest atoms and distances in Å follow each position.
Space group F-43m (No. 216)
Symmetry-distinct sites (fractional):
Li 0.0000 0.0000 0.0000 x4  4 Dy 2.71
Dy 0.2500 0.2500 0.7500 x4  4 Li 2.71, 4 Co 2.71
Co 0.0000 0.0000 0.5000 x4  4 Dy 2.71



No. 5
A plane-wave DFT calculation with GGA-PBE was carried out for an optimized crystal structure of Hf2Zr4Cu3N3.

Output
Total magnetization ... 0.001 μB/atom

a = 9.7433 Å, b = 5.6277 Å, c = 13.8890 Å
α = 90.00°, β = 103.44°, γ = 90.00°
Closest atoms and distances in Å follow each position.
Space group C2/c (No. 15)
Symmetry-distinct sites (fractional):
Hf 0.0582 0.0858 0.4150 x8  3 N 2.17-2.20
Zr 0.1164 0.4221 0.6003 x8  3 N 2.30-2.33
Zr 0.2147 0.4144 0.8992 x8  3 N 2.31-2.33
Cu 0.0000 0.3668 0.2500 x4  2 Hf 2.73, 2 Cu 2.77, 4 Zr 2.85-2.86
Cu 0.1407 0.0611 0.7503 x8  2 Hf 2.72-2.76, 2 Cu 2.74-2.77, 4 Zr 2.84-2.89
N 0.0825 0.2472 0.0000 x8  2 Hf 2.20, 4 Zr 2.30-2.33
N 0.2500 0.2500 0.5000 x4  2 Hf 2.17, 4 Zr 2.33



No. 6
A plane-wave DFT calculation with GGA-PBE was carried out for an optimized crystal structure of NpAgCl6.

Output
Total magnetization ... 0.250 μB/atom

a = 6.6322 Å, b = 6.6322 Å, c = 18.0570 Å
α = 90.00°, β = 90.00°, γ = 120.00°
Closest atoms and distances in Å follow each position.
Space group R-3 (No. 148, hexagonal axes)
Symmetry-distinct sites (fractional):
Np 0.0000 0.0000 0.0000 x3  6 Cl 2.53
Ag 0.0000 0.0000 0.5000 x3  6 Cl 2.71
Cl 0.0122 0.6949 0.0809 x18  1 Np 2.53, 1 Ag 2.71



No. 7
A plane-wave DFT calculation with GGA-PBE was carried out for an optimized crystal structure of NaTcB.

Output
Total magnetization ... 0.334 μB/atom

a = 5.4841 Å, b = 5.4841 Å, c = 5.4841 Å
α = 90.00°, β = 90.00°, γ = 90.00°
Closest atoms and distances in Å follow each position.
Space group F-43m (No. 216)
Symmetry-distinct sites (fractional):
Na 0.0000 0.0000 0.0000 x4  4 B 2.37
Tc 0.0000 0.0000 0.5000 x4  4 B 2.37
B 0.2500 0.2500 0.2500 x4  4 Na 2.37, 4 Tc 2.37



No. 8
A plane-wave DFT calculation with GGA-PBE was carried out for an optimized crystal structure of MgZnTeO.

a = 4.8012 Å, b = 4.8012 Å, c = 7.0917 Å
α = 90.00°, β = 90.00°, γ = 90.00°
Closest atoms and distances in Å follow each position.
Space group P4/nmm (No. 129, origin choice 2)
Symmetry-distinct sites (fractional):
Mg 0.2500 0.7500 0.0000 x2  4 Zn 2.84, 4 Te 3.01
Zn 0.2500 0.2500 0.2127 x2  1 O 1.83
Te 0.2500 0.2500 0.7441 x2  1 O 1.93
O 0.2500 0.2500 0.4713 x2  1 Zn 1.83, 1 Te 1.93



no.,DFT total energy (eV for the cell shown)
1,-41.50
2,-16.72
3,-65.22
4,-45.85
5,-400.83
6,-109.54
7,-60.63
8,-24.83